Density functional theory data (PBE-GGA) for an optimized crystal structure of Li3Pm2Pt4.

Computed properties:
Raw total energy in eV per cell: -93.6
Calculated formation energy in meV/atom: -822
M_tot in μB/f.u.: 0.0

Unit cell a=5.5862 b=7.6845 c=7.9894 alpha=90.00 beta=110.46 gamma=90.00
Closest atoms and distances in Å follow each position.
Atoms (fractional coordinates):
Pt  0.3213  0.4693  0.6426  5 Li 2.64-2.69
Pt  0.1993  0.7500  0.8985  3 Li 2.49-2.51
Pt  0.3007  0.2500  0.1015  3 Li 2.49-2.51
Pt  0.6993  0.7500  0.8985  3 Li 2.49-2.51
Pt  0.8213  0.0307  0.6426  5 Li 2.64-2.69
Pt  0.1787  0.9693  0.3574  5 Li 2.64-2.69
Pt  0.8007  0.2500  0.1015  3 Li 2.49-2.51
Pt  0.6787  0.5307  0.3574  5 Li 2.64-2.69
Pm  0.3865  0.0873  0.7730  8 Pt 2.99-3.24, 6 Li 3.14-3.34
Pm  0.6135  0.9127  0.2270  8 Pt 2.99-3.24, 6 Li 3.14-3.34
Pm  0.1135  0.5873  0.2270  8 Pt 2.99-3.24, 6 Li 3.14-3.34
Pm  0.8865  0.4127  0.7730  8 Pt 2.99-3.24, 6 Li 3.14-3.34
Li  0.9683  0.2500  0.4366  5 Pt 2.51-2.68, 2 Li 2.79
Li  0.0000  0.0000  0.0000  6 Pt 2.49-2.69
Li  0.5000  0.5000  0.0000  6 Pt 2.49-2.69
Li  0.4683  0.2500  0.4366  5 Pt 2.51-2.68, 2 Li 2.79
Li  0.0317  0.7500  0.5634  5 Pt 2.51-2.68, 2 Li 2.79
Li  0.5317  0.7500  0.5634  5 Pt 2.51-2.68, 2 Li 2.79